No. 1
The following is a PBE-GGA calculation of a relaxed structure of YSnMo3, from the Alexandria database.

abc: 4.8578 4.8578 4.8578
angles: 90.00 90.00 90.00
Positions (direct):
Sn  0.5000  0.5000  0.5000
Mo  0.0000  0.0000  0.5000
Mo  0.5000  0.0000  0.0000
Mo  0.0000  0.5000  0.0000
Y  0.0000  0.0000  0.0000

## Properties
- Formation energy from the elements: 2.267 eV/atom
- Excess energy over the best structure of this formula in the dataset: 65.23 kJ per mole of atoms
- Space group: No. 221

No. 2
The following is a PBE-GGA calculation of a relaxed structure of La7Ho4Sc, from the Alexandria database.

abc: 6.3020 8.0915 12.6031
angles: 82.20 59.81 49.57
Positions (direct):
La  0.8804  0.6697  0.1225
La  0.3686  0.1694  0.8790
La  0.7108  0.1648  0.5391
La  0.5452  0.6660  0.4588
La  0.2166  0.6590  0.2900
La  0.0360  0.1689  0.7120
La  0.5298  0.6679  0.9597
Ho  0.3837  0.1656  0.3690
Ho  0.0484  0.1654  0.2056
Ho  0.8785  0.6629  0.6256
Ho  0.1959  0.6754  0.7933
Sc  0.7061  0.1650  0.0453

## Properties
- Formation energy from the elements: 0.037 eV/atom
- Space group: No. 1

No. 3
The following is a PBE-GGA calculation of a relaxed structure of TiHgIr2, from the Alexandria database.

abc: 4.5066 4.5066 4.5066
angles: 60.00 60.00 60.00
Positions (direct):
Ir  0.7500  0.7500  0.7500
Ir  0.2500  0.2500  0.2500
Hg  0.5000  0.5000  0.5000
Ti  0.0000  0.0000  0.0000

## Properties
- Formation energy from the elements: -0.173 eV/atom
- Excess energy over the best structure of this formula in the dataset: 0.00 kJ per mole of atoms
- Space group: No. 225

No. 4
The following is a PBE-GGA calculation of a relaxed structure of Cr2CuBr, from the Alexandria database.

abc: 8.3089 8.3089 8.3089
angles: 21.20 21.20 21.20
Site moments in Bohr magnetons follow the coordinates.
Positions (direct):
Cr  0.2582  0.2582  0.2582  -1.96
Cr  0.9909  0.9909  0.9909  2.16
Br  0.7379  0.7379  0.7379  -0.04
Cu  0.5130  0.5130  0.5130  -0.07

## Properties
- Uncorrected formation energy: 0.49 eV per atom
- Excess energy over the best structure of this formula in the dataset: 13.31 kJ per mole of atoms
- Space group: No. 160

No. 5
The following is a PBE-GGA calculation of a relaxed structure of TaIrPtRh, from the Alexandria database.

abc: 3.8711 3.9629 3.9803
angles: 90.00 90.00 90.00
Positions (direct):
Ir  0.5000  0.0000  0.5000
Ta  0.0000  0.5000  0.5000
Pt  0.0000  0.0000  0.0000
Rh  0.5000  0.5000  0.0000

## Properties
- Formation energy from the elements: -0.667 eV/atom
- Space group: No. 47

No. 6
The following is a PBE-GGA calculation of a relaxed structure of RbZrAg2Se4, from the Alexandria database.

abc: 6.8250 6.8042 6.8042
angles: 69.07 59.90 59.90
Positions (direct):
Se  0.5335  0.4662  0.8704
Se  0.8702  0.5338  0.1296
Se  0.1298  0.8704  0.4662
Se  0.4665  0.1296  0.5338
Rb  0.0000  0.0000  0.0000
Ag  0.1680  0.3320  0.3320
Ag  0.8320  0.6680  0.6680
Zr  0.5000  0.5000  0.5000

## Properties
- Uncorrected formation energy: -0.69 eV per atom
- Space group: No. 23

No. 7
The following is a PBE-GGA calculation of a relaxed structure of NpGa6I12, from the Alexandria database.

abc: 9.8721 9.8721 9.8721
angles: 70.42 70.42 70.42
Site moments in Bohr magnetons follow the coordinates.
Positions (direct):
I  0.5103  0.3992  0.8469  -0.02
I  0.3992  0.8469  0.5103  -0.02
I  0.8469  0.5103  0.3992  -0.02
I  0.1531  0.4897  0.6008  -0.02
I  0.4897  0.6008  0.1531  -0.02
I  0.8969  0.3108  0.0365  -0.07
I  0.9635  0.1031  0.6892  -0.07
I  0.6892  0.9635  0.1031  -0.07
I  0.1031  0.6892  0.9635  -0.07
I  0.6008  0.1531  0.4897  -0.02
I  0.0365  0.8969  0.3108  -0.07
I  0.3108  0.0365  0.8969  -0.07
Np  0.0000  0.0000  0.0000  3.43
Ga  0.4411  0.1257  0.3147  -0.02
Ga  0.1257  0.3147  0.4411  -0.02
Ga  0.8743  0.6853  0.5589  -0.02
Ga  0.5589  0.8743  0.6853  -0.02
Ga  0.3147  0.4411  0.1257  -0.02
Ga  0.6853  0.5589  0.8743  -0.02

## Properties
- Uncorrected formation energy: -0.38 eV per atom
- Space group: No. 148

No. 8
The following is a PBE-GGA calculation of a relaxed structure of Pm2Ho4Tm3, from the Alexandria database.

abc: 6.1180 11.1833 11.1833
angles: 62.27 61.83 61.83
Positions (direct):
Pm  0.0787  0.4760  0.7670
Pm  0.4213  0.2330  0.5240
Pm  0.9213  0.5240  0.2330
Pm  0.5787  0.7670  0.4760
Tm  0.2500  0.5978  0.4022
Tm  0.7500  0.4022  0.5978
Tm  0.2621  0.2629  0.0675
Tm  0.7379  0.7371  0.9325
Tm  0.2379  0.9325  0.7371
Tm  0.7621  0.0675  0.2629
Ho  0.5831  0.4240  0.1450
Ho  0.5799  0.0941  0.8118
Ho  0.4201  0.9059  0.1882
Ho  0.0831  0.1450  0.4240
Ho  0.9201  0.1882  0.9059
Ho  0.0799  0.8118  0.0941
Ho  0.4169  0.5760  0.8550
Ho  0.9169  0.8550  0.5760

## Properties
- Formation energy from the elements: 0.095 eV/atom
- Space group: No. 15